Crystalline Nd6Ga2SeI3 at its relaxed geometry, computed with PBE-GGA.

Output
- formation energy without anion corrections (kJ/mol of atoms) = -97.3
- symmetry = No. 12
- theoretical density (g/cm3) = 6.45

Cell and atoms, written as extended XYZ:
```
12
Lattice="3.769 -6.525 0.000 3.769 6.525 0.000 -2.508 0.000 7.672" Properties=species:S:1:pos:R:3 pbc="T T T"
Nd -0.015 2.202 6.114
Nd 1.218 0.000 1.550
Nd -0.015 -2.202 6.114
Nd 5.045 2.202 1.558
Nd 3.812 0.000 6.121
Nd 5.045 -2.202 1.558
Ga 3.769 4.345 0.000
Ga 3.769 -4.345 0.000
Se 3.769 0.000 0.000
I -1.254 0.000 3.836
I 2.515 2.178 3.836
I 2.515 -2.178 3.836
```

***

Crystalline PbS2F at its relaxed geometry, computed with PBE-GGA.

Output
- formation energy without anion corrections (kJ/mol of atoms) = -69.0
- symmetry = No. 122
- theoretical density (g/cm3) = 5.06

Cell and atoms, written as extended XYZ:
```
16
Lattice="9.206 0.000 0.000 0.000 9.206 0.000 0.000 0.000 4.498" Properties=species:S:1:pos:R:3 pbc="T T T"
Pb 0.000 0.000 0.000
Pb 0.000 4.603 1.125
Pb 4.603 0.000 3.374
Pb 4.603 4.603 2.249
S 1.932 2.302 0.562
S 2.302 6.535 1.687
S 2.302 7.275 3.936
S 2.672 2.302 2.811
S 6.535 6.905 2.811
S 6.905 1.932 3.936
S 6.905 2.672 1.687
S 7.275 6.905 0.562
F 0.000 0.000 2.249
F 0.000 4.603 3.374
F 4.603 0.000 1.125
F 4.603 4.603 0.000
```

***

Crystalline La2Zn2PdPt5 at its relaxed geometry, computed with PBE-GGA.

Output
- E_form (meV per atom) = -748
- symmetry = No. 127
- theoretical density (g/cm3) = 13.39

Cell and atoms, written as extended XYZ:
```
20
Lattice="9.695 0.000 0.000 0.000 9.695 0.000 0.000 0.000 3.934" Properties=species:S:1:pos:R:3 pbc="T T T"
La 1.764 3.084 0.000
La 3.084 7.931 0.000
La 6.611 1.764 0.000
La 7.931 6.611 0.000
Zn 1.131 5.978 0.000
Zn 3.717 1.131 0.000
Zn 5.978 8.564 0.000
Zn 8.564 3.717 0.000
Pd 0.000 0.000 0.000
Pd 4.847 4.847 0.000
Pt 0.000 4.847 1.967
Pt 0.600 7.696 1.967
Pt 1.999 0.600 1.967
Pt 2.849 5.447 1.967
Pt 4.247 2.849 1.967
Pt 4.847 0.000 1.967
Pt 5.447 6.846 1.967
Pt 6.846 4.247 1.967
Pt 7.696 9.095 1.967
Pt 9.095 1.999 1.967
```

***

Crystalline VNiSN2 at its relaxed geometry, computed with PBE-GGA.

Output
- formation energy without anion corrections (kJ/mol of atoms) = 49.0
- symmetry = No. 123
- theoretical density (g/cm3) = 4.16

Cell and atoms, written as extended XYZ:
```
5
Lattice="3.649 0.000 0.000 0.000 3.649 0.000 0.000 0.000 5.088" Properties=species:S:1:pos:R:3 pbc="T T T"
V 0.000 0.000 0.000
Ni 1.824 1.824 2.544
S 0.000 0.000 2.544
N 0.000 1.824 0.000
N 1.824 0.000 0.000
```